1.
! DyLuMnAg (PBE-GGA, optimized geometry); values from VASP
! - spin magnetization (μB per cell) = 3.48
! - formation enthalpy at 0 K (eV per formula unit) = -0.1
! - crystal system = cubic
! - DOS at the Fermi energy (states/eV/f.u.) = 3.9
! - total energy (hartree per atom) = -0.19501
&SYSTEM
  ibrav = 0, nat = 4, ntyp = 4
/
ATOMIC_SPECIES
Ag 107.87 Ag.upf
Lu 174.97 Lu.upf
Mn 54.94 Mn.upf
Dy 162.50 Dy.upf
CELL_PARAMETERS angstrom
-2.307 3.834 2.314
-3.545 2.636 -2.420
-4.829 -0.424 1.370
ATOMIC_POSITIONS crystal
Ag 0.250 0.250 0.250
Lu 0.500 0.500 0.500
Mn 0.750 0.750 0.750
Dy 0.000 0.000 0.000


2.
! DyLuAgPd (PBE-GGA, optimized geometry); values from VASP
! - spin magnetization (μB per cell) = 0.00
! - formation enthalpy at 0 K (eV per formula unit) = -2.5
! - crystal system = cubic
! - DOS at the Fermi energy (states/eV/f.u.) = 3.6
! - total energy (hartree per atom) = -0.18025
&SYSTEM
  ibrav = 0, nat = 4, ntyp = 4
/
ATOMIC_SPECIES
Lu 174.97 Lu.upf
Ag 107.87 Ag.upf
Pd 106.42 Pd.upf
Dy 162.50 Dy.upf
CELL_PARAMETERS angstrom
4.997 0.000 0.000
2.499 4.328 0.000
2.499 1.443 4.080
ATOMIC_POSITIONS crystal
Lu 0.500 0.500 0.500
Ag 0.250 0.250 0.250
Pd 0.750 0.750 0.750
Dy 0.000 0.000 0.000


3.
! PmDyLuAg (PBE-GGA, optimized geometry); values from VASP
! - spin magnetization (μB per cell) = 0.01
! - formation enthalpy at 0 K (eV per formula unit) = 0.4
! - crystal system = cubic
! - DOS at the Fermi energy (states/eV/f.u.) = 5.9
! - total energy (hartree per atom) = -0.14985
&SYSTEM
  ibrav = 0, nat = 4, ntyp = 4
/
ATOMIC_SPECIES
Pm 145.00 Pm.upf
Dy 162.50 Dy.upf
Lu 174.97 Lu.upf
Ag 107.87 Ag.upf
CELL_PARAMETERS angstrom
5.372 0.000 0.000
2.686 4.653 0.000
2.686 1.551 4.387
ATOMIC_POSITIONS crystal
Pm 0.750 0.750 0.750
Dy 0.000 0.000 0.000
Lu 0.500 0.500 0.500
Ag 0.250 0.250 0.250


4.
! DyLuAgRh (PBE-GGA, optimized geometry); values from VASP
! - spin magnetization (μB per cell) = 0.00
! - formation enthalpy at 0 K (eV per formula unit) = -2.4
! - crystal system = cubic
! - DOS at the Fermi energy (states/eV/f.u.) = 3.4
! - total energy (hartree per atom) = -0.19988
&SYSTEM
  ibrav = 0, nat = 4, ntyp = 4
/
ATOMIC_SPECIES
Rh 102.91 Rh.upf
Lu 174.97 Lu.upf
Dy 162.50 Dy.upf
Ag 107.87 Ag.upf
CELL_PARAMETERS angstrom
4.938 0.000 0.000
2.469 4.276 0.000
2.469 1.425 4.031
ATOMIC_POSITIONS crystal
Rh 0.750 0.750 0.750
Lu 0.500 0.500 0.500
Dy 0.000 0.000 0.000
Ag 0.250 0.250 0.250


5.
! DyLuScAg (PBE-GGA, optimized geometry); values from VASP
! - spin magnetization (μB per cell) = 0.00
! - formation enthalpy at 0 K (eV per formula unit) = 0.1
! - crystal system = cubic
! - DOS at the Fermi energy (states/eV/f.u.) = 3.9
! - total energy (hartree per atom) = -0.16708
&SYSTEM
  ibrav = 0, nat = 4, ntyp = 4
/
ATOMIC_SPECIES
Dy 162.50 Dy.upf
Ag 107.87 Ag.upf
Sc 44.96 Sc.upf
Lu 174.97 Lu.upf
CELL_PARAMETERS angstrom
5.221 0.000 0.000
2.610 4.521 0.000
2.610 1.507 4.263
ATOMIC_POSITIONS crystal
Dy 0.000 0.000 0.000
Ag 0.250 0.250 0.250
Sc 0.750 0.750 0.750
Lu 0.500 0.500 0.500


6.
! SmDyLuAg (PBE-GGA, optimized geometry); values from VASP
! - spin magnetization (μB per cell) = 0.00
! - formation enthalpy at 0 K (eV per formula unit) = 0.2
! - crystal system = cubic
! - DOS at the Fermi energy (states/eV/f.u.) = 3.2
! - total energy (hartree per atom) = -0.15185
&SYSTEM
  ibrav = 0, nat = 4, ntyp = 4
/
ATOMIC_SPECIES
Lu 174.97 Lu.upf
Sm 150.36 Sm.upf
Ag 107.87 Ag.upf
Dy 162.50 Dy.upf
CELL_PARAMETERS angstrom
5.374 0.000 0.000
2.687 4.654 0.000
2.687 1.551 4.388
ATOMIC_POSITIONS crystal
Lu 0.750 0.750 0.750
Sm 0.500 0.500 0.500
Ag 0.250 0.250 0.250
Dy 0.000 0.000 0.000


> Which value of spin magnetization does entry 3 give?

0.01 μB per cell


What did the first record say?
! DyLuMnAg (PBE-GGA, optimized geometry); values from VASP
! - spin magnetization (μB per cell) = 3.48
! - formation enthalpy at 0 K (eV per formula unit) = -0.1
! - crystal system = cubic
! - DOS at the Fermi energy (states/eV/f.u.) = 3.9
! - total energy (hartree per atom) = -0.19501
&SYSTEM
  ibrav = 0, nat = 4, ntyp = 4
/
ATOMIC_SPECIES
Ag 107.87 Ag.upf
Lu 174.97 Lu.upf
Mn 54.94 Mn.upf
Dy 162.50 Dy.upf
CELL_PARAMETERS angstrom
-2.307 3.834 2.314
-3.545 2.636 -2.420
-4.829 -0.424 1.370
ATOMIC_POSITIONS crystal
Ag 0.250 0.250 0.250
Lu 0.500 0.500 0.500
Mn 0.750 0.750 0.750
Dy 0.000 0.000 0.000